# 1
The following is a DFT calculation (GGA-PBE) of a relaxed structure of BaHo2O4.

abc: 7.0117 7.0117 7.0117
angles: 60.00 60.00 60.00
Last column: nearest neighbours and their distance in Å.
Fractional positions:
Ba 0.1250 0.1250 0.1250  4 O 2.51
Ba 0.8750 0.8750 0.8750  4 O 2.51
Ho 0.0000 0.5000 0.5000  6 O 2.29
Ho 0.5000 0.0000 0.5000  6 O 2.29
Ho 0.5000 0.5000 0.0000  6 O 2.29
Ho 0.5000 0.5000 0.5000  6 O 2.29
O 0.2711 0.2711 0.2711  3 Ho 2.29, 1 Ba 2.51
O 0.2711 0.2711 0.6867  3 Ho 2.29, 1 Ba 2.51
O 0.2711 0.6867 0.2711  3 Ho 2.29, 1 Ba 2.51
O 0.3133 0.7289 0.7289  3 Ho 2.29, 1 Ba 2.51
O 0.6867 0.2711 0.2711  3 Ho 2.29, 1 Ba 2.51
O 0.7289 0.3133 0.7289  3 Ho 2.29, 1 Ba 2.51
O 0.7289 0.7289 0.3133  3 Ho 2.29, 1 Ba 2.51
O 0.7289 0.7289 0.7289  3 Ho 2.29, 1 Ba 2.51

Output
Its space group is Fd-3m (227). For the energy, the calculation gives -7.702 eV/atom. The total magnetic moment comes out at 0.00 μB/cell. The crystal system is cubic.



# 2
The following is a DFT calculation (GGA-PBE) of a relaxed structure of Ba17Ho16Zn8Pt4O57.

abc: 16.3870 16.3870 16.3870
angles: 91.74 91.74 159.95
Last column: nearest neighbours and their distance in Å.
Fractional positions:
Ba 0.0000 0.0000 0.0000  10 O 2.85-2.91
Ba 0.0671 0.4422 0.5093  6 O 2.72-2.85
Ba 0.1120 0.2751 0.3871  8 O 2.83-2.95
Ba 0.1893 0.7317 0.9210  6 O 2.57-2.87
Ba 0.2683 0.1893 0.4576  6 O 2.57-2.87
Ba 0.2751 0.8880 0.1630  8 O 2.83-2.95
Ba 0.3422 0.6502 0.9923  6 O 2.70-2.90
Ba 0.3498 0.3422 0.6920  6 O 2.70-2.90
Ba 0.4422 0.9329 0.3750  6 O 2.72-2.85
Ba 0.5578 0.0671 0.6250  6 O 2.72-2.85
Ba 0.6502 0.6578 0.3080  6 O 2.70-2.90
Ba 0.6578 0.3498 0.0077  6 O 2.70-2.90
Ba 0.7249 0.1120 0.8370  8 O 2.83-2.95
Ba 0.7317 0.8107 0.5424  6 O 2.57-2.87
Ba 0.8107 0.2683 0.0790  6 O 2.57-2.87
Ba 0.8880 0.7249 0.6129  8 O 2.83-2.95
Ba 0.9329 0.5578 0.4907  6 O 2.72-2.85
Ho 0.0497 0.6742 0.7239  6 O 2.20-2.35
Ho 0.0524 0.8282 0.8805  7 O 2.27-2.47
Ho 0.1718 0.0524 0.2242  7 O 2.27-2.47
Ho 0.2505 0.5062 0.7567  7 O 2.26-2.38
Ho 0.3258 0.0497 0.3755  6 O 2.20-2.35
Ho 0.4002 0.5120 0.9122  7 O 2.27-2.41
Ho 0.4880 0.4002 0.8881  7 O 2.27-2.41
Ho 0.4938 0.2505 0.7443  7 O 2.26-2.38
Ho 0.5062 0.7495 0.2557  7 O 2.26-2.38
Ho 0.5120 0.5998 0.1119  7 O 2.27-2.41
Ho 0.5998 0.4880 0.0878  7 O 2.27-2.41
Ho 0.6742 0.9503 0.6245  6 O 2.20-2.35
Ho 0.7495 0.4938 0.2433  7 O 2.26-2.38
Ho 0.8282 0.9476 0.7758  7 O 2.27-2.47
Ho 0.9476 0.1718 0.1195  7 O 2.27-2.47
Ho 0.9503 0.3258 0.2761  6 O 2.20-2.35
Zn 0.0756 0.1333 0.2089  5 O 1.97-2.14
Zn 0.1333 0.9244 0.0577  5 O 1.97-2.14
Zn 0.2118 0.3791 0.5909  5 O 1.95-2.12
Zn 0.3791 0.7882 0.1673  5 O 1.95-2.12
Zn 0.6209 0.2118 0.8327  5 O 1.95-2.12
Zn 0.7882 0.6209 0.4091  5 O 1.95-2.12
Zn 0.8667 0.0756 0.9423  5 O 1.97-2.14
Zn 0.9244 0.8667 0.7911  5 O 1.97-2.14
Pt 0.1442 0.5828 0.7270  6 O 2.03-2.10
Pt 0.4172 0.1442 0.5614  6 O 2.03-2.10
Pt 0.5828 0.8558 0.4386  6 O 2.03-2.10
Pt 0.8558 0.4172 0.2730  6 O 2.03-2.10
O 0.0015 0.1764 0.6810  1 Zn 2.05, 2 Ho 2.27-2.29
O 0.0540 0.5645 0.6185  1 Pt 2.10
O 0.0726 0.2768 0.8517  1 Zn 2.04, 1 Ho 2.26
O 0.0756 0.7210 0.3112  1 Pt 2.03, 1 Ho 2.20
O 0.1095 0.8769 0.4792  1 Pt 2.04, 1 Zn 2.12
O 0.1231 0.6022 0.2325  1 Pt 2.04, 1 Zn 2.12
O 0.1579 0.1598 0.3176  1 Zn 1.97
O 0.1598 0.8421 0.0019  1 Zn 1.97
O 0.1609 0.1856 0.8452  1 Zn 2.14, 2 Ho 2.27-2.37
O 0.1764 0.4954 0.1749  1 Zn 2.05, 2 Ho 2.27-2.29
O 0.1856 0.3404 0.0246  1 Zn 2.14, 2 Ho 2.27-2.37
O 0.2209 0.0726 0.7957  1 Zn 2.04, 1 Ho 2.26
O 0.2317 0.6084 0.8401  1 Pt 2.08
O 0.2356 0.9244 0.6454  1 Pt 2.03, 1 Ho 2.20
O 0.2392 0.2982 0.5374  1 Zn 1.95
O 0.2768 0.4251 0.2043  1 Zn 2.04, 1 Ho 2.26
O 0.2790 0.5902 0.3546  1 Pt 2.03, 1 Ho 2.20
O 0.2982 0.7608 0.0590  1 Zn 1.95
O 0.3158 0.1609 0.9754  1 Zn 2.14, 2 Ho 2.27-2.37
O 0.3204 0.0015 0.8251  1 Zn 2.05, 2 Ho 2.27-2.29
O 0.3404 0.3158 0.1548  1 Zn 2.14, 2 Ho 2.27-2.37
O 0.3697 0.8905 0.7675  1 Pt 2.04, 1 Zn 2.12
O 0.3916 0.2317 0.6233  1 Pt 2.08
O 0.3978 0.6303 0.5208  1 Pt 2.04, 1 Zn 2.12
O 0.4098 0.7644 0.6888  1 Pt 2.03, 1 Ho 2.20
O 0.4251 0.2209 0.1483  1 Zn 2.04, 1 Ho 2.26
O 0.4355 0.0540 0.4895  1 Pt 2.10
O 0.4954 0.3204 0.3190  1 Zn 2.05, 2 Ho 2.27-2.29
O 0.5000 0.5000 0.0000  4 Ho 2.29
O 0.5046 0.6796 0.6810  1 Zn 2.05, 2 Ho 2.27-2.29
O 0.5645 0.9460 0.5105  1 Pt 2.10
O 0.5749 0.7791 0.8517  1 Zn 2.04, 1 Ho 2.26
O 0.5902 0.2356 0.3112  1 Pt 2.03, 1 Ho 2.20
O 0.6022 0.3697 0.4792  1 Pt 2.04, 1 Zn 2.12
O 0.6084 0.7683 0.3767  1 Pt 2.08
O 0.6303 0.1095 0.2325  1 Pt 2.04, 1 Zn 2.12
O 0.6596 0.6842 0.8452  1 Zn 2.14, 2 Ho 2.27-2.37
O 0.6796 0.9985 0.1749  1 Zn 2.05, 2 Ho 2.27-2.29
O 0.6842 0.8391 0.0246  1 Zn 2.14, 2 Ho 2.27-2.37
O 0.7018 0.2392 0.9410  1 Zn 1.95
O 0.7210 0.4098 0.6454  1 Pt 2.03, 1 Ho 2.20
O 0.7232 0.5749 0.7957  1 Zn 2.04, 1 Ho 2.26
O 0.7608 0.7018 0.4626  1 Zn 1.95
O 0.7644 0.0756 0.3546  1 Pt 2.03, 1 Ho 2.20
O 0.7683 0.3916 0.1599  1 Pt 2.08
O 0.7791 0.9274 0.2043  1 Zn 2.04, 1 Ho 2.26
O 0.8144 0.6596 0.9754  1 Zn 2.14, 2 Ho 2.27-2.37
O 0.8236 0.5046 0.8251  1 Zn 2.05, 2 Ho 2.27-2.29
O 0.8391 0.8144 0.1548  1 Zn 2.14, 2 Ho 2.27-2.37
O 0.8402 0.1579 0.9981  1 Zn 1.97
O 0.8421 0.8402 0.6824  1 Zn 1.97
O 0.8769 0.3978 0.7675  1 Pt 2.04, 1 Zn 2.12
O 0.8905 0.1231 0.5208  1 Pt 2.04, 1 Zn 2.12
O 0.9244 0.2790 0.6888  1 Pt 2.03, 1 Ho 2.20
O 0.9274 0.7232 0.1483  1 Zn 2.04, 1 Ho 2.26
O 0.9460 0.4355 0.3815  1 Pt 2.10
O 0.9985 0.8236 0.3190  1 Zn 2.05, 2 Ho 2.27-2.29

Output
Its space group is I4/m (87). For the energy, the calculation gives -6.750 eV/atom. The total magnetic moment comes out at 0.00 μB/cell. The crystal system is tetragonal.



# 3
The following is a DFT calculation (GGA-PBE) of a relaxed structure of BaHo2ZnO5.

abc: 12.2972 5.6950 7.0437
angles: 90.00 90.00 90.00
Last column: nearest neighbours and their distance in Å.
Fractional positions:
Ba 0.1007 0.2500 0.0778  7 O 2.71-3.00
Ba 0.3993 0.7500 0.5778  7 O 2.71-3.00
Ba 0.6007 0.2500 0.4222  7 O 2.71-3.00
Ba 0.8993 0.7500 0.9222  7 O 2.71-3.00
Ho 0.0746 0.7500 0.4010  7 O 2.29-2.34
Ho 0.2077 0.2500 0.6202  7 O 2.28-2.37
Ho 0.2923 0.7500 0.1202  7 O 2.28-2.37
Ho 0.4254 0.2500 0.9010  7 O 2.29-2.34
Ho 0.5746 0.7500 0.0990  7 O 2.29-2.34
Ho 0.7077 0.2500 0.8798  7 O 2.28-2.37
Ho 0.7923 0.7500 0.3798  7 O 2.28-2.37
Ho 0.9254 0.2500 0.5990  7 O 2.29-2.34
Zn 0.1509 0.7500 0.8085  5 O 1.99-2.13
Zn 0.3491 0.2500 0.3085  5 O 1.99-2.13
Zn 0.6509 0.7500 0.6915  5 O 1.99-2.13
Zn 0.8491 0.2500 0.1915  5 O 1.99-2.13
O 0.0654 0.5010 0.6649  1 Zn 2.04
O 0.0654 0.9990 0.6649  1 Zn 2.04
O 0.1010 0.7500 0.0767  1 Zn 1.99
O 0.2243 0.9999 0.3604  1 Zn 2.13, 3 Ho 2.33-2.36
O 0.2243 0.5001 0.3604  1 Zn 2.13, 3 Ho 2.33-2.36
O 0.2757 0.0001 0.8604  1 Zn 2.13, 3 Ho 2.33-2.36
O 0.2757 0.4999 0.8604  1 Zn 2.13, 3 Ho 2.33-2.36
O 0.3990 0.2500 0.5767  1 Zn 1.99
O 0.4346 0.0010 0.1649  1 Zn 2.04
O 0.4346 0.4990 0.1649  1 Zn 2.04
O 0.5654 0.5010 0.8351  1 Zn 2.04
O 0.5654 0.9990 0.8351  1 Zn 2.04
O 0.6010 0.7500 0.4233  1 Zn 1.99
O 0.7243 0.9999 0.1396  1 Zn 2.13, 3 Ho 2.33-2.36
O 0.7243 0.5001 0.1396  1 Zn 2.13, 3 Ho 2.33-2.36
O 0.7757 0.0001 0.6396  1 Zn 2.13, 3 Ho 2.33-2.36
O 0.7757 0.4999 0.6396  1 Zn 2.13, 3 Ho 2.33-2.36
O 0.8990 0.2500 0.9233  1 Zn 1.99
O 0.9346 0.0010 0.3351  1 Zn 2.04
O 0.9346 0.4990 0.3351  1 Zn 2.04

Output
Its space group is Pnma (62). For the energy, the calculation gives -7.007 eV/atom. The total magnetic moment comes out at 0.00 μB/cell. The crystal system is orthorhombic.



# 4
The following is a DFT calculation (GGA-PBE) of a relaxed structure of Ba5Ho8Zn4O21.

abc: 10.1157 10.1157 10.1157
angles: 94.54 94.54 147.32
Last column: nearest neighbours and their distance in Å.
Fractional positions:
Ba 0.0000 0.0000 0.0000  10 O 2.85-2.90
Ba 0.1395 0.5358 0.6752  6 O 2.64-2.89
Ba 0.4642 0.1395 0.6037  6 O 2.64-2.89
Ba 0.5358 0.8605 0.3963  6 O 2.64-2.89
Ba 0.8605 0.4642 0.3248  6 O 2.64-2.89
Ho 0.1679 0.2475 0.4154  7 O 2.26-2.47
Ho 0.2475 0.8321 0.0796  7 O 2.26-2.47
Ho 0.3574 0.4116 0.7690  7 O 2.28-2.40
Ho 0.4116 0.6426 0.0542  7 O 2.28-2.40
Ho 0.5884 0.3574 0.9458  7 O 2.28-2.40
Ho 0.6426 0.5884 0.2310  7 O 2.28-2.40
Ho 0.7525 0.1679 0.9204  7 O 2.26-2.47
Ho 0.8321 0.7525 0.5846  7 O 2.26-2.47
Zn 0.0406 0.7494 0.7901  5 O 1.99-2.12
Zn 0.2506 0.0406 0.2912  5 O 1.99-2.12
Zn 0.7494 0.9594 0.7088  5 O 1.99-2.12
Zn 0.9594 0.2506 0.2099  5 O 1.99-2.12
O 0.0101 0.9004 0.4066  1 Zn 2.05, 2 Ho 2.26-2.29
O 0.0381 0.3724 0.4105  1 Zn 1.99
O 0.0725 0.2979 0.8707  1 Zn 2.12, 2 Ho 2.28-2.38
O 0.0996 0.5062 0.1097  1 Zn 2.05, 2 Ho 2.26-2.29
O 0.2019 0.0725 0.7746  1 Zn 2.12, 2 Ho 2.28-2.38
O 0.2979 0.4273 0.2254  1 Zn 2.12, 2 Ho 2.28-2.38
O 0.3724 0.9619 0.3344  1 Zn 1.99
O 0.3965 0.9899 0.8903  1 Zn 2.05, 2 Ho 2.26-2.29
O 0.4273 0.2019 0.1293  1 Zn 2.12, 2 Ho 2.28-2.38
O 0.4938 0.6035 0.5934  1 Zn 2.05, 2 Ho 2.26-2.29
O 0.5000 0.5000 0.0000  4 Ho 2.30
O 0.5062 0.3965 0.4066  1 Zn 2.05, 2 Ho 2.26-2.29
O 0.5727 0.7981 0.8707  1 Zn 2.12, 2 Ho 2.28-2.38
O 0.6035 0.0101 0.1097  1 Zn 2.05, 2 Ho 2.26-2.29
O 0.6276 0.0381 0.6656  1 Zn 1.99
O 0.7021 0.5727 0.7746  1 Zn 2.12, 2 Ho 2.28-2.38
O 0.7981 0.9275 0.2254  1 Zn 2.12, 2 Ho 2.28-2.38
O 0.9004 0.4938 0.8903  1 Zn 2.05, 2 Ho 2.26-2.29
O 0.9275 0.7021 0.1293  1 Zn 2.12, 2 Ho 2.28-2.38
O 0.9619 0.6276 0.5895  1 Zn 1.99
O 0.9899 0.0996 0.5934  1 Zn 2.05, 2 Ho 2.26-2.29

Output
Its space group is I4/m (87). For the energy, the calculation gives -6.960 eV/atom. The total magnetic moment comes out at 0.00 μB/cell. The crystal system is tetragonal.



# 5
The following is a DFT calculation (GGA-PBE) of a relaxed structure of Ba2HoOsS6.

abc: 7.0568 7.0568 7.0568
angles: 120.90 120.90 88.45
Last column: nearest neighbours and their distance in Å.
Fractional positions:
Ba 0.2500 0.7500 0.5000  8 S 3.22-3.48
Ba 0.7500 0.2500 0.5000  8 S 3.22-3.48
Ho 0.0000 0.0000 0.0000  6 S 2.64-2.67
Os 0.5000 0.5000 0.0000  6 S 2.37-2.39
S 0.2166 0.3112 0.5278  1 Os 2.37, 1 Ho 2.64
S 0.2638 0.2638 0.0000  1 Os 2.39, 1 Ho 2.67
S 0.3112 0.7834 0.0945  1 Os 2.37, 1 Ho 2.64
S 0.6888 0.2166 0.9055  1 Os 2.37, 1 Ho 2.64
S 0.7362 0.7362 0.0000  1 Os 2.39, 1 Ho 2.67
S 0.7834 0.6888 0.4722  1 Os 2.37, 1 Ho 2.64

Output
Its space group is I4/m (87). For the energy, the calculation gives -5.723 eV/atom. The total magnetic moment comes out at 2.58 μB/cell. The crystal system is tetragonal.



# 6
The following is a DFT calculation (GGA-PBE) of a relaxed structure of Ba2HoOsS6.

abc: 6.9536 6.9690 6.9988
angles: 61.24 60.77 60.46
Last column: nearest neighbours and their distance in Å.
Fractional positions:
Ba 0.2500 0.2481 0.2539  7 S 3.18-3.55
Ba 0.7500 0.7519 0.7461  7 S 3.18-3.55
Ho 0.0000 0.0000 0.0000  6 S 2.63-2.64
Os 0.5000 0.5000 0.5000  6 S 2.37
S 0.2246 0.7593 0.3025  1 Os 2.37, 1 Ho 2.64
S 0.2696 0.6800 0.7921  1 Os 2.37, 1 Ho 2.63
S 0.2954 0.2315 0.7128  1 Os 2.37, 1 Ho 2.64
S 0.7046 0.7685 0.2872  1 Os 2.37, 1 Ho 2.64
S 0.7304 0.3200 0.2079  1 Os 2.37, 1 Ho 2.63
S 0.7754 0.2407 0.6975  1 Os 2.37, 1 Ho 2.64

Output
Its space group is P-1 (2). For the energy, the calculation gives -5.723 eV/atom. The total magnetic moment comes out at 2.23 μB/cell. The crystal system is triclinic.



# 7
The following is a DFT calculation (GGA-PBE) of a relaxed structure of Ba2HoOsS6.

abc: 6.9866 6.9866 7.1191
angles: 120.22 120.22 59.67
Last column: nearest neighbours and their distance in Å.
Fractional positions:
Ba 0.2489 0.2489 0.2457  7 S 3.18-3.50
Ba 0.7511 0.7511 0.7543  7 S 3.18-3.50
Ho 0.0000 0.0000 0.5000  6 S 2.63-2.64
Os 0.5000 0.5000 0.0000  6 S 2.37
S 0.2313 0.7086 0.2043  1 Os 2.37, 1 Ho 2.64
S 0.2640 0.2640 0.7067  1 Os 2.37, 1 Ho 2.63
S 0.2914 0.7687 0.7957  1 Os 2.37, 1 Ho 2.64
S 0.7086 0.2313 0.2043  1 Os 2.37, 1 Ho 2.64
S 0.7360 0.7360 0.2933  1 Os 2.37, 1 Ho 2.63
S 0.7687 0.2914 0.7957  1 Os 2.37, 1 Ho 2.64

Output
Its space group is C2/m (12). For the energy, the calculation gives -5.723 eV/atom. The total magnetic moment comes out at 2.23 μB/cell. The crystal system is monoclinic.



# 8
The following is a DFT calculation (GGA-PBE) of a relaxed structure of Ba2HoOsSe6.

abc: 7.2200 7.2557 7.3036
angles: 62.27 61.42 60.71
Last column: nearest neighbours and their distance in Å.
Fractional positions:
Ba 0.2483 0.2563 0.2454  6 Se 3.25-3.59
Ba 0.7517 0.7437 0.7546  6 Se 3.25-3.59
Ho 0.5000 0.5000 0.5000  6 Se 2.75-2.78
Os 0.0000 0.0000 0.0000  6 Se 2.51
Se 0.1979 0.2778 0.7953  1 Os 2.51, 1 Ho 2.78
Se 0.2274 0.8375 0.6883  1 Os 2.51, 1 Ho 2.75
Se 0.2897 0.7298 0.1857  1 Os 2.51, 1 Ho 2.77
Se 0.7103 0.2702 0.8143  1 Os 2.51, 1 Ho 2.77
Se 0.7726 0.1625 0.3117  1 Os 2.51, 1 Ho 2.75
Se 0.8021 0.7222 0.2047  1 Os 2.51, 1 Ho 2.78

Output
Its space group is P-1 (2). For the energy, the calculation gives -5.183 eV/atom. The total magnetic moment comes out at 2.83 μB/cell. The crystal system is triclinic.